Computed, not measured: La4HgIrBr2 after structural relaxation at the GGA-PBE level of DFT.

```
La4HgIrBr2
1.0
4.2655 0.0000 0.0000
0.0000 8.2031 -0.3435
0.0000 2.7085 7.2618
La Br Ir Hg
4 2 1 1
Direct
0.5000 0.7044 0.2754
0.0000 0.7147 0.7184
0.0000 0.2853 0.2816
0.5000 0.2956 0.7246
0.5000 0.0000 0.5000
0.0000 0.0000 0.0000
0.0000 0.5000 0.5000
0.5000 0.5000 0.0000
```

Calculated volume in Å³/f.u.: 258
Symmetry: P2/m
Uncorrected formation energy in eV/atom: -1.024
Fermi-level density of states in states/eV per cell: 7.33

Computed, not measured: CdNiCl2 after structural relaxation at the GGA-PBE level of DFT.

```
CdNiCl2
1.0
3.7664 -0.0739 0.0000
-2.3870 2.9144 0.0000
0.0000 0.0000 9.2206
Ni Cd Cl
1 1 2
Direct
0.5000 0.5000 0.2500
0.5000 0.5000 0.7500
0.0000 0.0000 0.0842
0.0000 0.0000 0.4158
```

Calculated volume in Å³/f.u.: 100
Energy relative to the lowest polymorph listed for this composition in kJ/mol of formula units: 40
Symmetry: Cmmm
Uncorrected formation energy in eV/atom: -0.289
Fermi-level density of states in states/eV per cell: 2.93

Computed, not measured: YPt3C after structural relaxation at the GGA-PBE level of DFT.

```
YPt3C
1.0
-3.8366 -2.1394 -2.6596
3.3891 -2.8639 -2.5851
-0.4062 -3.6867 3.5516
Pt Y C
3 1 1
Direct
0.5000 0.0000 0.0000
0.0000 0.5000 0.0000
0.0000 0.0000 0.5000
0.0000 0.0000 0.0000
0.5000 0.5000 0.5000
```

Calculated volume in Å³/f.u.: 135
Energy relative to the lowest polymorph listed for this composition in kJ/mol of formula units: 1264
Energy of formation from the pure elements in eV/atom: 2.3470
Symmetry: Pm-3m
Fermi-level density of states in states/eV per cell: 4.63

Computed, not measured: EuAgSn after structural relaxation at the GGA-PBE level of DFT.

```
EuAgSn
1.0
3.7311 0.0000 0.0000
0.0000 4.9324 0.0000
0.0000 -2.4662 4.2716
Sn Ag Eu
1 1 1
Direct
0.1668 0.6667 0.3333
0.1665 0.0000 0.0000
0.6667 0.3333 0.6667
```

Calculated volume in Å³/f.u.: 79
Energy of formation from the pure elements in eV/atom: -0.5276
Symmetry: P-6m2
Fermi-level density of states in states/eV per cell: 10.67

- Number 3 is which compound?
  YPt3C